## Ac2TlGeIr (PBE)

Data for crystalline Ac2TlGeIr at its relaxed geometry.

The structure belongs to space group P2_1/m (No. 11); the cell edges are 8.475, 4.539 and 8.507 Å and the angles 90.00°, 111.22° and 90.00°. Symmetry generates all atoms from Ac at (0.086, 0.250, 0.339), Ac at (0.338, 0.750, 0.083), Tl at (0.367, 0.750, 0.635), Ge at (0.227, 0.250, 0.771) and Ir at (0.047, 0.250, 0.953).

For the energy, the calculation gives -53.73 eV per cell. Its formation energy is -2.81 eV per formula unit.

## Mg5Re4 (PBE)

Data for crystalline Mg5Re4 at its relaxed geometry.

The structure belongs to space group I4/mmm (No. 139); the cell edges are 9.993, 9.993 and 3.060 Å and the angles 90.00°, 90.00° and 90.00°. Symmetry generates all atoms from Mg at (0.000, 0.000, 0.000), Mg at (0.168, 0.168, 0.500) and Re at (0.000, 0.348, 0.000).

For the energy, the calculation gives -109.80 eV per cell. Its formation energy is 2.87 eV per formula unit.

## SrTb6Te8 (PBE)

Data for crystalline SrTb6Te8 at its relaxed geometry.

The structure belongs to space group R-3 (No. 148, hexagonal axes); the cell edges are 11.9501, 11.9501 and 13.9304 Å and the angles 90.00°, 90.00° and 120.00°. Symmetry generates all atoms from Sr at (0.0000, 0.0000, 0.0000), Tb at (0.0195, 0.1927, 0.3887), Te at (0.0000, 0.0000, 0.2363) and Te at (0.0162, 0.3900, 0.2547).

As for the energy above the lowest structure with this stoichiometry: 180 meV/atom. For the energy, the calculation gives -219.04 eV per cell.

## CeNdPdPt (PBE)

Data for crystalline CeNdPdPt at its relaxed geometry.

The structure belongs to space group F-43m (No. 216); the cell edges are 7.191, 7.191 and 7.191 Å and the angles 90.00°, 90.00° and 90.00°. Symmetry generates all atoms from Ce at (0.000, 0.000, 0.000), Nd at (0.000, 0.000, 0.500), Pd at (0.250, 0.250, 0.750) and Pt at (0.250, 0.250, 0.250).

As for the energy above the lowest structure with this stoichiometry: 89 meV/atom. For the energy, the calculation gives -101.15 eV per cell. Its formation energy is -3.35 eV per formula unit.